# Ti2PSe | Alexandria | PBE | relaxed
data_Ti2PSe
_chemical_formula_sum 'Ti6 P3 Se3'
_symmetry_space_group_name_H-M 'P 1'
_symmetry_Int_Tables_number 1
_symmetry_space_group_name_Hall 'P 1'
_cell_length_a 3.5346
_cell_length_b 3.5346
_cell_length_c 18.4679
_cell_angle_alpha 90.00
_cell_angle_beta 90.00
_cell_angle_gamma 120.00
loop_
_atom_site_label
_atom_site_fract_x
_atom_site_fract_y
_atom_site_fract_z
_atom_site_occupancy
Ti1 0.0000 0.0000 0.0000 1
Ti2 0.0000 0.0000 0.1901 1
Ti3 0.3333 0.6667 0.6667 1
Ti4 0.3333 0.6667 0.8568 1
Ti5 0.6667 0.3333 0.3333 1
Ti6 0.6667 0.3333 0.5235 1
P1 0.0000 0.0000 0.5954 1
P2 0.3333 0.6667 0.2621 1
P3 0.6667 0.3333 0.9288 1
Se1 0.0000 0.0000 0.4265 1
Se2 0.3333 0.6667 0.0932 1
Se3 0.6667 0.3333 0.7598 1
# - total moment (μB per formula unit) = 0.00
# - raw formation energy (eV per atom) = -1.12
# - DOS(E_F) (states/eV/atom) = 0.76
# - offset from the most stable computed form (eV/f.u.) = 0.00